(1)
The following is a DFT calculation (PBE) of an optimized crystal structure of TlBP2O8.

```
TlBP2O8
1.0
2.2760 1.3140 7.4105
-2.2760 1.3140 7.4105
0.0000 -2.6281 7.4105
Tl B P O
1 1 2 8
Cartesian
0.0000 0.0000 0.0000
0.0000 0.0000 11.1157
0.0000 0.0000 5.1227
0.0000 0.0000 17.1087
-0.8083 -1.0934 10.1083
-1.3510 0.1534 12.1231
0.0000 0.0000 6.7155
-0.5427 1.2467 10.1082
0.5427 -1.2467 12.1231
0.0000 0.0000 15.5158
1.3510 -0.1534 10.1082
0.8083 1.0934 12.1231
```

Computed properties:
- Formation energy (no corrections): -1467.8 meV/atom
- Space-group type: R-3

=====

(2)
The following is a DFT calculation (PBE) of an optimized crystal structure of Pr5ErGa5.

```
Pr5ErGa5
1.0
8.1592 -2.8639 0.0000
8.1592 2.8639 0.0000
-2.1535 0.0000 6.4960
Pr Er Ga
5 1 5
Cartesian
0.0000 0.0000 0.0000
4.4474 0.0000 1.6916
4.3036 0.0000 5.1743
9.8613 0.0000 1.3218
9.7175 0.0000 4.8045
-1.0767 0.0000 3.2480
0.8313 0.0000 5.6005
1.7405 0.0000 3.0380
7.0825 0.0000 3.2480
12.4245 0.0000 3.4580
13.3337 0.0000 0.8955
```

Computed properties:
- Final energy: -47.3 eV for the cell shown
- Space-group type: C2/m

=====

(3)
The following is a DFT calculation (PBE) of an optimized crystal structure of Dy3HoRh.

```
Dy3HoRh
1.0
7.5462 0.0000 0.0000
0.0000 6.4932 0.0000
0.0000 0.0000 6.1246
Dy Ho Rh
6 2 2
Cartesian
0.0000 0.9834 0.0000
1.8867 2.0274 3.1038
1.8864 4.4657 0.0415
3.7731 5.5097 3.0623
5.6595 2.0274 3.1038
5.6598 4.4657 0.0415
0.0000 5.5114 3.1483
3.7731 0.9817 0.0861
0.0000 3.2543 1.5787
3.7731 3.2388 4.6410
```

Computed properties:
- Energy above the lowest structure with this stoichiometry: 49 kJ/mol of formula units
- Space-group type: Pmn2_1

=====

(4)
The following is a DFT calculation (PBE) of an optimized crystal structure of K4CeHo3O8.

```
K4CeHo3O8
1.0
3.5134 2.0284 6.2679
-3.5134 2.0284 6.2679
0.0000 -4.0569 6.2679
K Ce Ho O
4 1 3 8
Cartesian
0.0000 0.0000 0.0000
-1.7567 -1.0142 6.2679
-1.7567 1.0142 12.5358
0.0000 2.0284 6.2679
0.0000 0.0000 9.4018
-3.5134 0.0000 9.4018
-1.7567 1.0142 3.1339
1.7567 1.0142 3.1339
-1.8044 -1.0418 10.5633
0.0000 0.0000 4.2898
0.0000 -2.0836 8.2404
-1.8044 1.0418 8.2404
1.8044 -1.0418 10.5633
0.0000 2.0836 10.5633
0.0000 0.0000 14.5139
1.8044 1.0418 8.2404
```

Computed properties:
- Formation energy (no corrections): -2724.4 meV/atom
- Space-group type: R-3m

=====

(5)
The following is a DFT calculation (PBE) of an optimized crystal structure of Pr3SnI2.

```
Pr3SnI2
1.0
6.4210 -5.6287 0.0000
6.4210 5.6287 0.0000
0.0000 0.0000 6.2943
Pr Sn I
6 2 4
Cartesian
4.0805 1.9610 0.0062
6.4210 4.0056 3.1472
4.0805 -1.9610 3.1533
8.7614 1.9610 0.0062
6.4210 -4.0056 0.0000
8.7614 -1.9610 3.1533
6.4210 4.0521 6.2942
6.4210 -4.0521 3.1470
4.4683 1.3290 3.1534
4.4683 -1.3290 0.0062
8.3737 1.3290 3.1534
8.3737 -1.3290 0.0062
```

Computed properties:
- Formation energy (no corrections): -639.5 meV/atom
- Space-group type: Cmc2_1

=====

(6)
The following is a DFT calculation (PBE) of an optimized crystal structure of K3UPd2S6.

```
K3UPd2S6
1.0
3.1578 -6.2171 0.0000
3.1578 6.2171 0.0000
-2.2332 0.0000 7.2776
K U Pd S
3 1 2 6
Cartesian
0.0000 0.0000 0.0000
3.1578 2.2124 0.0000
3.1578 -2.2124 0.0000
2.0412 0.0000 3.6388
2.0412 4.6158 3.6388
2.0412 -4.6158 3.6388
0.8714 1.8986 2.2799
0.0115 0.0000 5.2012
0.8714 -1.8986 2.2799
3.2110 1.8986 4.9977
4.0710 0.0000 2.0764
3.2110 -1.8986 4.9977
```

Computed properties:
- Formation energy (no corrections): -891.9 meV/atom
- Space-group type: C2/m